Density functional theory data (PBE) for a relaxed Pr9Co2I14 crystal.

Summary:
ΔE_f (raw): -22.6 kcal/mol of atoms

Unit cell a=9.3482 b=9.3482 c=12.8191 alpha=90.00 beta=90.00 gamma=120.00
Last column: nearest neighbours and their distance in Å.
Sites, in units of the cell vectors:
Pr (0.0000, 0.0000, 0.0000)  8 I 3.30-3.41
Pr (0.1034, 0.3924, 0.3356)  1 Co 2.55
Pr (0.2890, 0.8966, 0.3356)  1 Co 2.55
Pr (0.3333, 0.6667, 0.0670)  1 Co 2.54
Pr (0.3924, 0.2890, 0.6644)  1 Co 2.55
Pr (0.6076, 0.7110, 0.3356)  1 Co 2.55
Pr (0.6667, 0.3333, 0.9330)  1 Co 2.54
Pr (0.7110, 0.1034, 0.6644)  1 Co 2.55
Pr (0.8966, 0.6076, 0.6644)  1 Co 2.55
Co (0.3333, 0.6667, 0.2651)  4 Pr 2.54-2.55
Co (0.6667, 0.3333, 0.7349)  4 Pr 2.54-2.55
I (0.0000, 0.0000, 0.2577)  4 Pr 3.30-3.44
I (0.0000, 0.0000, 0.7423)  4 Pr 3.30-3.44
I (0.0449, 0.6824, 0.9071)  4 Pr 3.34-3.45
I (0.0866, 0.4008, 0.5978)  4 Pr 3.32-3.60
I (0.3143, 0.9134, 0.5978)  4 Pr 3.32-3.60
I (0.3176, 0.3625, 0.9071)  4 Pr 3.34-3.45
I (0.3625, 0.0449, 0.0929)  4 Pr 3.34-3.45
I (0.4008, 0.3143, 0.4022)  4 Pr 3.32-3.60
I (0.5992, 0.6857, 0.5978)  4 Pr 3.32-3.60
I (0.6375, 0.9551, 0.9071)  4 Pr 3.34-3.45
I (0.6824, 0.6375, 0.0929)  4 Pr 3.34-3.45
I (0.6857, 0.0866, 0.4022)  4 Pr 3.32-3.60
I (0.9134, 0.5992, 0.4022)  4 Pr 3.32-3.60
I (0.9551, 0.3176, 0.0929)  4 Pr 3.34-3.45



Density functional theory data (PBE) for a relaxed Fe2WBr crystal.

Summary:
ΔE_f (raw): 16.6 kcal/mol of atoms
Energy above the lowest structure with this stoichiometry: 249 meV/atom

Unit cell a=3.9636 b=3.9636 c=7.2004 alpha=114.25 beta=114.25 gamma=44.41
Last column: nearest neighbours and their distance in Å.
Sites, in units of the cell vectors:
Fe (0.1396, 0.1396, 0.3265)  3 W 2.37-2.45, 2 Br 2.59
Fe (0.8604, 0.8604, 0.6735)  3 W 2.37-2.45, 2 Br 2.59
W (0.5000, 0.5000, 0.5000)  6 Fe 2.37-2.45
Br (0.5000, 0.5000, 0.0000)  4 Fe 2.59



Density functional theory data (PBE) for a relaxed Ca3LaIr crystal.

Summary:
ΔE_f: -0.310 eV/atom
Energy above the lowest structure with this stoichiometry: 0 meV/atom

Unit cell a=7.6440 b=7.6440 c=8.3736 alpha=122.63 beta=122.63 gamma=74.38
Last column: nearest neighbours and their distance in Å.
Sites, in units of the cell vectors:
Ca (0.0475, 0.4392, 0.1897)  1 Ir 2.85
Ca (0.0486, 0.0486, 0.3546)  2 Ir 2.93-3.26
Ca (0.4392, 0.0475, 0.1897)  1 Ir 2.85
Ca (0.5608, 0.9525, 0.8103)  1 Ir 2.85
Ca (0.9514, 0.9514, 0.6454)  2 Ir 2.93-3.26
Ca (0.9525, 0.5608, 0.8103)  1 Ir 2.85
La (0.4500, 0.4500, 0.7499)  1 Ir 2.63
La (0.5500, 0.5500, 0.2501)  1 Ir 2.63
Ir (0.2695, 0.2695, 0.8812)  1 La 2.63, 3 Ca 2.85-2.93
Ir (0.7305, 0.7305, 0.1188)  1 La 2.63, 3 Ca 2.85-2.93



Density functional theory data (PBE) for a relaxed TaCdBiO6 crystal.

Summary:
ΔE_f (raw): -37.0 kcal/mol of atoms

Unit cell a=5.4984 b=5.4984 c=9.7469 alpha=90.00 beta=90.00 gamma=120.00
Last column: nearest neighbours and their distance in Å.
Sites, in units of the cell vectors:
Ta (0.3333, 0.6667, 0.2500)  6 O 2.02
Ta (0.6667, 0.3333, 0.7500)  6 O 2.02
Cd (0.0000, 0.0000, 0.0000)  6 O 2.40
Cd (0.0000, 0.0000, 0.5000)  6 O 2.40
Bi (0.3333, 0.6667, 0.7500)  6 O 2.15
Bi (0.6667, 0.3333, 0.2500)  6 O 2.15
O (0.0183, 0.3722, 0.1355)  1 Ta 2.02, 1 Bi 2.15
O (0.0183, 0.6461, 0.3645)  1 Ta 2.02, 1 Bi 2.15
O (0.3539, 0.3722, 0.3645)  1 Ta 2.02, 1 Bi 2.15
O (0.3539, 0.9817, 0.1355)  1 Ta 2.02, 1 Bi 2.15
O (0.3722, 0.0183, 0.6355)  1 Ta 2.02, 1 Bi 2.15
O (0.3722, 0.3539, 0.8645)  1 Ta 2.02, 1 Bi 2.15
O (0.6278, 0.6461, 0.1355)  1 Ta 2.02, 1 Bi 2.15
O (0.6278, 0.9817, 0.3645)  1 Ta 2.02, 1 Bi 2.15
O (0.6461, 0.0183, 0.8645)  1 Ta 2.02, 1 Bi 2.15
O (0.6461, 0.6278, 0.6355)  1 Ta 2.02, 1 Bi 2.15
O (0.9817, 0.3539, 0.6355)  1 Ta 2.02, 1 Bi 2.15
O (0.9817, 0.6278, 0.8645)  1 Ta 2.02, 1 Bi 2.15



no.,calculated total energy (eV per atom)
1,-4.139
2,-7.168
3,-4.269
4,-6.758